1.
Computed, not measured: crystalline KYPb at its relaxed geometry at the GGA-PBE level of DFT.

## Properties
**DOS(E_F)**: 0.0000 states/eV per atom
**SG**: P4/nmm (129)
**Magnetization**: 0.00 μB/f.u.
**Offset from the most stable computed form**: 51 meV per atom
**Total DFT energy (no corrections)**: -3.996 eV/atom
**Crystal system**: tetragonal

Cell: 5.555 5.555 8.009 Å, 90.00 90.00 90.00°
Fractional positions:
K (0.250, 0.750, 0.000)
K (0.750, 0.250, 0.000)
Y (0.250, 0.750, 0.500)
Y (0.750, 0.250, 0.500)
Pb (0.250, 0.250, 0.314)
Pb (0.750, 0.750, 0.686)

---

2.
Computed, not measured: crystalline TaOsCF2 at its relaxed geometry at the GGA-PBE level of DFT.

## Properties
**ΔE_f (raw)**: 321 meV/atom
**DOS(E_F)**: 0.7794 states/eV per atom
**SG**: P4/mmm (123)
**Magnetization**: 2.41 μB/f.u.
**Total DFT energy (no corrections)**: -6.888 eV/atom
**Crystal system**: tetragonal

Cell: 3.947 3.947 4.417 Å, 90.00 90.00 90.00°
Fractional positions:
Ta (0.000, 0.000, 0.000)
Os (0.500, 0.500, 0.500)
C (0.000, 0.000, 0.500)
F (0.000, 0.500, 0.000)
F (0.500, 0.000, 0.000)

---

3.
Computed, not measured: crystalline SrCdGa2Hg2 at its relaxed geometry at the GGA-PBE level of DFT.

## Properties
**DOS(E_F)**: 0.4979 states/eV per atom
**SG**: P-3m1 (164)
**Magnetization**: 0.00 μB/f.u.
**Total DFT energy (no corrections)**: -1.775 eV/atom
**Crystal system**: trigonal

Cell: 4.792 4.792 7.543 Å, 90.00 90.00 120.00°
Fractional positions:
Sr (0.000, 0.000, 0.000)
Cd (0.000, 0.000, 0.500)
Ga (0.333, 0.667, 0.311)
Ga (0.667, 0.333, 0.689)
Hg (0.333, 0.667, 0.739)
Hg (0.667, 0.333, 0.261)

---

4.
Computed, not measured: crystalline Ag2BiPb at its relaxed geometry at the GGA-PBE level of DFT.

## Properties
**DOS(E_F)**: 0.4596 states/eV per atom
**SG**: I-42d (122)
**Magnetization**: 0.00 μB/f.u.
**Total DFT energy (no corrections)**: -3.082 eV/atom
**Crystal system**: tetragonal

Cell: 6.564 6.564 6.564 Å, 104.10 104.10 120.84°
Fractional positions:
Ag (0.121, 0.625, 0.996)
Ag (0.375, 0.371, 0.496)
Ag (0.629, 0.125, 0.004)
Ag (0.875, 0.879, 0.504)
Bi (0.000, 0.000, 0.000)
Bi (0.750, 0.250, 0.500)
Pb (0.250, 0.750, 0.500)
Pb (0.500, 0.500, 0.000)

---

- Which value of total DFT energy (no corrections) does entry 3 give?
  -1.775 eV/atom